First-principles (PBE) data for a geometry-optimized ErBeSi2Tc structure, as listed in Alexandria via LeMat-Bulk.

Uncorrected energy = -6.40 eV/atom
DOS(E_F) = 6.766 states/eV/cell
Formation energy from raw total energies = -2.48 eV per formula unit

Structure (CIF):
```
data_ErBeSi2Tc
_cell_length_a 3.8705
_cell_length_b 3.8705
_cell_length_c 10.4764
_cell_angle_alpha 90.00
_cell_angle_beta 90.00
_cell_angle_gamma 90.00
_symmetry_space_group_name_H-M 'I -4 m 2'
_symmetry_Int_Tables_number 119
_symmetry_space_group_name_Hall 'I -4 -2'
loop_
_atom_site_label
_atom_site_type_symbol
_atom_site_fract_x
_atom_site_fract_y
_atom_site_fract_z
Er1 Er 0.0000 0.0000 0.0000
Be1 Be 0.0000 0.5000 0.7500
Si1 Si 0.0000 0.0000 0.3842
Tc1 Tc 0.0000 0.5000 0.2500
```



First-principles (PBE) data for a geometry-optimized Cd3SiAs2F6 structure, as listed in Alexandria via LeMat-Bulk.

Uncorrected energy = -4.16 eV/atom
DOS(E_F) = 2.446 states/eV/cell
Formation energy from raw total energies = -21.25 eV per formula unit

Structure (CIF):
```
data_Cd3SiAs2F6
_cell_length_a 13.6298
_cell_length_b 5.9882
_cell_length_c 4.8210
_cell_angle_alpha 90.00
_cell_angle_beta 94.28
_cell_angle_gamma 90.00
_symmetry_space_group_name_H-M 'C 1 2/m 1'
_symmetry_Int_Tables_number 12
loop_
_symmetry_equiv_pos_as_xyz
'x,y,z'
'-x,-y,-z'
'-x,y,-z'
'x,-y,z'
'x+1/2,y+1/2,z'
'-x+1/2,-y+1/2,-z'
'-x+1/2,y+1/2,-z'
'x+1/2,-y+1/2,z'
loop_
_atom_site_label
_atom_site_type_symbol
_atom_site_fract_x
_atom_site_fract_y
_atom_site_fract_z
Cd1 Cd 0.0000 0.0000 0.0000
Cd2 Cd 0.2500 0.2500 0.5000
Si1 Si 0.0000 0.5000 0.5000
As1 As 0.2037 0.0000 0.9703
F1 F 0.0716 0.2923 0.3642
F2 F 0.0750 0.5000 0.7909
```



First-principles (PBE) data for a geometry-optimized NiSe2Br8 structure, as listed in Alexandria via LeMat-Bulk.

Uncorrected energy = -2.46 eV/atom
DOS(E_F) = 18.450 states/eV/cell
Formation energy from raw total energies = -0.95 eV per formula unit

Structure (CIF):
```
data_NiSe2Br8
_cell_length_a 13.9322
_cell_length_b 9.0260
_cell_length_c 6.9833
_cell_angle_alpha 90.00
_cell_angle_beta 95.92
_cell_angle_gamma 90.00
_symmetry_space_group_name_H-M 'C 1 2/m 1'
_symmetry_Int_Tables_number 12
loop_
_symmetry_equiv_pos_as_xyz
'x,y,z'
'-x,-y,-z'
'-x,y,-z'
'x,-y,z'
'x+1/2,y+1/2,z'
'-x+1/2,-y+1/2,-z'
'-x+1/2,y+1/2,-z'
'x+1/2,-y+1/2,z'
loop_
_atom_site_label
_atom_site_type_symbol
_atom_site_fract_x
_atom_site_fract_y
_atom_site_fract_z
Ni1 Ni 0.0000 0.0000 0.0000
Se1 Se 0.2257 0.0000 0.6802
Br1 Br 0.0904 0.1857 0.8809
Br2 Br 0.1108 0.5000 0.3933
Br3 Br 0.1378 0.0000 0.3717
```



First-principles (PBE) data for a geometry-optimized HfPdPtCl2 structure, as listed in Alexandria via LeMat-Bulk.

Uncorrected energy = -5.11 eV/atom
DOS(E_F) = 2.266 states/eV/cell
Formation energy from raw total energies = -0.68 eV per formula unit

Structure (CIF):
```
data_HfPdPtCl2
_cell_length_a 4.8241
_cell_length_b 4.8241
_cell_length_c 5.1818
_cell_angle_alpha 90.00
_cell_angle_beta 90.00
_cell_angle_gamma 90.00
_symmetry_space_group_name_H-M 'P 4/m m m'
_symmetry_Int_Tables_number 123
_symmetry_space_group_name_Hall '-P 4 2'
loop_
_atom_site_label
_atom_site_type_symbol
_atom_site_fract_x
_atom_site_fract_y
_atom_site_fract_z
Hf1 Hf 0.0000 0.0000 0.0000
Pd1 Pd 0.5000 0.5000 0.5000
Pt1 Pt 0.0000 0.0000 0.5000
Cl1 Cl 0.0000 0.5000 0.0000
```



First-principles (PBE) data for a geometry-optimized Mg2Si3 structure, as listed in Alexandria via LeMat-Bulk.

Uncorrected energy = -3.82 eV/atom
DOS(E_F) = 7.904 states/eV/cell
Distance to the lowest polymorph of the same formula = 43 meV per atom
Formation energy from raw total energies = 0.36 eV per formula unit

Structure (CIF):
```
data_Mg2Si3
_cell_length_a 11.9306
_cell_length_b 3.8647
_cell_length_c 17.3124
_cell_angle_alpha 90.00
_cell_angle_beta 101.09
_cell_angle_gamma 90.00
_symmetry_space_group_name_H-M 'C 1 m 1'
_symmetry_Int_Tables_number 8
loop_
_symmetry_equiv_pos_as_xyz
'x,y,z'
'x,-y,z'
'x+1/2,y+1/2,z'
'x+1/2,-y+1/2,z'
loop_
_atom_site_label
_atom_site_type_symbol
_atom_site_fract_x
_atom_site_fract_y
_atom_site_fract_z
Mg1 Mg 0.0000 0.0000 0.0000
Mg2 Mg 0.0048 0.0000 0.8207
Mg3 Mg 0.1130 0.0000 0.4998
Mg4 Mg 0.2584 0.0000 0.1741
Mg5 Mg 0.2720 0.0000 0.0038
Mg6 Mg 0.3249 0.5000 0.5061
Mg7 Mg 0.3426 0.5000 0.3219
Mg8 Mg 0.3539 0.0000 0.6622
Si1 Si 0.1159 0.5000 0.9264
Si2 Si 0.1406 0.0000 0.7133
Si3 Si 0.1406 0.5000 0.3808
Si4 Si 0.1429 0.0000 0.2959
Si5 Si 0.1501 0.5000 0.0729
Si6 Si 0.1753 0.5000 0.6343
Si7 Si 0.3033 0.5000 0.8910
Si8 Si 0.3148 0.0000 0.8104
Si9 Si 0.4561 0.0000 0.4188
Si10 Si 0.4655 0.5000 0.2023
Si11 Si 0.4685 0.0000 0.1184
Si12 Si 0.4846 0.0000 0.5574
```



First-principles (PBE) data for a geometry-optimized Rb2LaTiP structure, as listed in Alexandria via LeMat-Bulk.

DFT formation energy = 1.013 eV per atom
Uncorrected energy = -3.02 eV/atom
DOS(E_F) = 7.907 states/eV/cell

Structure (CIF):
```
data_Rb2LaTiP
_cell_length_a 7.8460
_cell_length_b 7.8460
_cell_length_c 5.2764
_cell_angle_alpha 90.00
_cell_angle_beta 90.00
_cell_angle_gamma 90.00
_symmetry_space_group_name_H-M 'P 4/m m m'
_symmetry_Int_Tables_number 123
_symmetry_space_group_name_Hall '-P 4 2'
loop_
_atom_site_label
_atom_site_type_symbol
_atom_site_fract_x
_atom_site_fract_y
_atom_site_fract_z
Rb1 Rb 0.0000 0.5000 0.0000
La1 La 0.0000 0.0000 0.0000
Ti1 Ti 0.5000 0.5000 0.5000
P1 P 0.0000 0.0000 0.5000
```



First-principles (PBE) data for a geometry-optimized SrYOs2 structure, as listed in Alexandria via LeMat-Bulk.

DFT formation energy = 0.806 eV per atom
Uncorrected energy = -6.85 eV/atom
DOS(E_F) = 6.514 states/eV/cell
Distance to the lowest polymorph of the same formula = 666 meV per atom

Structure (CIF):
```
data_SrYOs2
_cell_length_a 3.4193
_cell_length_b 5.0756
_cell_length_c 9.3514
_cell_angle_alpha 90.00
_cell_angle_beta 90.00
_cell_angle_gamma 90.00
_symmetry_space_group_name_H-M 'I m m m'
_symmetry_Int_Tables_number 71
_symmetry_space_group_name_Hall '-I 2 2'
loop_
_atom_site_label
_atom_site_type_symbol
_atom_site_fract_x
_atom_site_fract_y
_atom_site_fract_z
Sr1 Sr 0.0000 0.0000 0.0000
Y1 Y 0.0000 0.0000 0.5000
Os1 Os 0.0000 0.5000 0.2435
```



First-principles (PBE) data for a geometry-optimized Na2Ca2Y structure, as listed in Alexandria via LeMat-Bulk.

DFT formation energy = 0.396 eV per atom
Uncorrected energy = -2.23 eV/atom
DOS(E_F) = 11.337 states/eV/cell
Distance to the lowest polymorph of the same formula = 162 meV per atom

Structure (CIF):
```
data_Na2Ca2Y
_cell_length_a 5.1282
_cell_length_b 5.1282
_cell_length_c 14.0838
_cell_angle_alpha 90.00
_cell_angle_beta 90.00
_cell_angle_gamma 90.00
_symmetry_space_group_name_H-M 'I 4/m m m'
_symmetry_Int_Tables_number 139
_symmetry_space_group_name_Hall '-I 4 2'
loop_
_atom_site_label
_atom_site_type_symbol
_atom_site_fract_x
_atom_site_fract_y
_atom_site_fract_z
Na1 Na 0.0000 0.0000 0.0935
Ca1 Ca 0.0000 0.5000 0.2500
Y1 Y 0.0000 0.0000 0.5000
```



Q: What is the uncorrected energy in the first record?
A: -6.40 eV/atom



Q: Which formula does entry 3 have?
A: NiSe2Br8